i.
Compound: CdAsAu3
Source: Alexandria via LeMat-Bulk
Functional: PBE
Structure: optimized geometry

```
CdAsAu3
1.0
4.989 0.000 0.000
0.000 4.989 0.000
0.000 0.000 4.989
Cd As Au
1 1 3
Direct
0.000 0.000 0.000
0.500 0.500 0.500
0.000 0.500 0.500
0.500 0.000 0.500
0.500 0.500 0.000
```

Its space-group type is Pm-3m (221). Its calculated volume is 24.8 A^3/atom.


ii.
Compound: CdAsAu3
Source: Alexandria via LeMat-Bulk
Functional: PBE
Structure: optimized geometry

```
CdAsAu3
1.0
5.097 0.000 0.000
0.000 5.097 0.000
0.000 0.000 5.097
Cd As Au
1 1 3
Direct
0.000 0.000 0.000
0.500 0.500 0.500
0.000 0.000 0.500
0.000 0.500 0.000
0.500 0.000 0.000
```

Its space-group type is Pm-3m (221). Its calculated volume is 26.5 A^3/atom.


Which is the most stable structure? i is the most stable.


i.
Compound: CdAs2Au2
Source: Alexandria via LeMat-Bulk
Functional: PBE
Structure: optimized geometry

```
CdAs2Au2
1.0
3.864 0.000 0.000
0.000 3.864 0.000
0.000 0.000 14.034
Cd As Au
2 4 4
Direct
0.000 0.000 0.000
0.500 0.500 0.500
0.000 0.500 0.250
0.000 0.500 0.750
0.500 0.000 0.250
0.500 0.000 0.750
0.000 0.000 0.404
0.000 0.000 0.596
0.500 0.500 0.096
0.500 0.500 0.904
```

Its space-group type is I4/mmm (139). Its calculated volume is 21.0 A^3/atom.


ii.
Compound: CdAs2Au2
Source: Alexandria via LeMat-Bulk
Functional: PBE
Structure: optimized geometry

```
CdAs2Au2
1.0
7.543 0.000 0.000
0.000 7.543 0.000
0.000 0.000 3.661
Cd As Au
2 4 4
Direct
0.000 0.000 0.000
0.500 0.500 0.000
0.178 0.322 0.000
0.322 0.822 0.000
0.678 0.178 0.000
0.822 0.678 0.000
0.134 0.634 0.500
0.366 0.134 0.500
0.634 0.866 0.500
0.866 0.366 0.500
```

Its space-group type is P4/mbm (127). Its calculated volume is 20.8 A^3/atom.


iii.
Compound: CdAs2Au2
Source: Alexandria via LeMat-Bulk
Functional: PBE
Structure: optimized geometry

```
CdAs2Au2
1.0
7.439 0.000 0.000
0.000 7.439 0.000
0.000 0.000 3.652
Cd As Au
2 4 4
Direct
0.000 0.000 0.000
0.500 0.500 0.000
0.173 0.327 0.500
0.327 0.827 0.500
0.673 0.173 0.500
0.827 0.673 0.500
0.135 0.635 0.000
0.365 0.135 0.000
0.635 0.865 0.000
0.865 0.365 0.000
```

Its space-group type is P4/mbm (127). Its calculated volume is 20.2 A^3/atom.


Which is the most stable structure? i is the most stable.


i.
Compound: Cd2As2Au
Source: Alexandria via LeMat-Bulk
Functional: PBE
Structure: optimized geometry

```
Cd2As2Au
1.0
7.344 0.000 0.000
0.000 7.344 0.000
0.000 0.000 4.157
Cd As Au
4 4 2
Direct
0.141 0.359 0.000
0.359 0.859 0.000
0.641 0.141 0.000
0.859 0.641 0.000
0.180 0.680 0.500
0.320 0.180 0.500
0.680 0.820 0.500
0.820 0.320 0.500
0.000 0.000 0.500
0.500 0.500 0.500
```

Its space-group type is P4/mbm (127). Its calculated volume is 22.4 A^3/atom.


ii.
Compound: Cd2As2Au
Source: Alexandria via LeMat-Bulk
Functional: PBE
Structure: optimized geometry

```
Cd2As2Au
1.0
8.683 0.000 0.000
0.000 8.683 0.000
0.000 0.000 2.894
Cd As Au
4 4 2
Direct
0.160 0.340 0.000
0.340 0.840 0.000
0.660 0.160 0.000
0.840 0.660 0.000
0.139 0.639 0.500
0.361 0.139 0.500
0.639 0.861 0.500
0.861 0.361 0.500
0.000 0.000 0.000
0.500 0.500 0.000
```

Its space-group type is P4/mbm (127). Its calculated volume is 21.8 A^3/atom.


Which is the most stable structure? i is the most stable.


i.
Compound: Cd2As2Au
Source: Alexandria via LeMat-Bulk
Functional: PBE
Structure: optimized geometry

```
Cd2As2Au
1.0
3.751 0.000 0.000
0.000 3.751 0.000
0.000 0.000 15.646
Cd As Au
4 4 2
Direct
0.000 0.000 0.093
0.000 0.000 0.907
0.500 0.500 0.407
0.500 0.500 0.593
0.000 0.500 0.250
0.000 0.500 0.750
0.500 0.000 0.250
0.500 0.000 0.750
0.000 0.000 0.500
0.500 0.500 0.000
```

Its space-group type is I4/mmm (139). Its calculated volume is 22.0 A^3/atom.


ii.
Compound: Cd2As2Au
Source: Alexandria via LeMat-Bulk
Functional: PBE
Structure: optimized geometry

```
Cd2As2Au
1.0
5.490 0.000 0.000
0.000 5.490 0.000
0.000 0.000 7.957
Cd As Au
4 4 2
Direct
0.000 0.500 0.250
0.000 0.500 0.750
0.500 0.000 0.250
0.500 0.000 0.750
0.000 0.000 0.176
0.000 0.000 0.824
0.500 0.500 0.324
0.500 0.500 0.676
0.000 0.000 0.500
0.500 0.500 0.000
```

Its space-group type is I4/mmm (139). Its calculated volume is 24.0 A^3/atom.


Which is the most stable structure? i is the most stable.